1.
Here is a crystal of ZnCu4Au relaxed with PBEsol from Alexandria. Energies are from meta-GGA SCAN. Values from VASP.

The structure in Quantum ESPRESSO input format:
```
&SYSTEM
  ibrav = 0, nat = 6, ntyp = 3
/
ATOMIC_SPECIES
Zn 65.41 Zn.upf
Cu 63.55 Cu.upf
Au 196.97 Au.upf
ATOMIC_POSITIONS angstrom
Zn 0.000 0.000 0.000
Cu 4.227 2.534 2.534
Cu 2.534 4.227 2.534
Cu 2.534 2.534 4.227
Cu 4.227 4.227 4.227
Au 1.690 1.690 1.690
CELL_PARAMETERS angstrom
0.000 3.381 3.381
3.381 0.000 3.381
3.381 3.381 0.000
```

=====

2.
Here is a crystal of CaTe2As relaxed with PBEsol from Alexandria. Energies are from meta-GGA SCAN. Values from VASP.

The structure in Quantum ESPRESSO input format:
```
&SYSTEM
  ibrav = 0, nat = 4, ntyp = 3
/
ATOMIC_SPECIES
Ca 40.08 Ca.upf
Te 127.60 Te.upf
As 74.92 As.upf
ATOMIC_POSITIONS angstrom
Ca 0.000 0.000 0.000
Te 3.070 0.000 1.094
Te 8.422 0.000 3.004
As 5.746 0.000 2.049
CELL_PARAMETERS angstrom
6.466 -2.172 0.000
6.466 2.172 0.000
-1.440 0.000 4.098
```

Values from the calculation:
The calculation puts the uncorrected formation energy at -618 meV per atom.

=====

3.
Here is a crystal of La2IrAu relaxed with PBEsol from Alexandria. Energies are from meta-GGA SCAN. Values from VASP.

The structure in Quantum ESPRESSO input format:
```
&SYSTEM
  ibrav = 0, nat = 4, ntyp = 3
/
ATOMIC_SPECIES
La 138.91 La.upf
Ir 192.22 Ir.upf
Au 196.97 Au.upf
ATOMIC_POSITIONS angstrom
La 0.000 0.000 0.000
La 2.256 0.000 3.020
Ir 2.256 0.000 5.893
Au 0.000 0.000 7.816
CELL_PARAMETERS angstrom
4.512 0.000 0.000
0.000 2.004 5.441
0.000 -2.004 5.441
```

=====

4.
Here is a crystal of AlPSeBr2 relaxed with PBEsol from Alexandria. Energies are from meta-GGA SCAN. Values from VASP.

The structure in Quantum ESPRESSO input format:
```
&SYSTEM
  ibrav = 0, nat = 5, ntyp = 4
/
ATOMIC_SPECIES
Al 26.98 Al.upf
P 30.97 P.upf
Se 78.96 Se.upf
Br 79.90 Br.upf
ATOMIC_POSITIONS angstrom
Al 0.000 0.000 0.000
P 2.407 2.407 2.608
Se 0.000 0.000 2.608
Br 0.000 2.407 0.000
Br 2.407 0.000 0.000
CELL_PARAMETERS angstrom
4.815 0.000 0.000
0.000 4.815 0.000
0.000 0.000 5.217
```

Values from the calculation:
The calculation puts the uncorrected formation energy at 183 meV per atom. The energy relative to the lowest polymorph listed for this composition comes out at 0.00 kJ per mole of atoms.

=====

5.
Here is a crystal of Li4MnO2F2 relaxed with PBEsol from Alexandria. Energies are from meta-GGA SCAN. Values from VASP.

The structure in Quantum ESPRESSO input format:
```
&SYSTEM
  ibrav = 0, nat = 18, ntyp = 4
/
ATOMIC_SPECIES
Li 6.94 Li.upf
Mn 54.94 Mn.upf
O 16.00 O.upf
F 19.00 F.upf
ATOMIC_POSITIONS angstrom
Li 2.776 1.865 4.884
Li 2.716 0.000 0.000
Li 2.716 0.000 3.256
Li 5.337 1.865 4.884
Li 2.776 -1.865 1.628
Li 5.397 0.000 0.000
Li 5.397 0.000 3.256
Li 5.337 -1.865 1.628
Mn 4.057 2.691 1.628
Mn 4.057 -2.691 4.884
O 1.796 0.207 4.884
O 1.796 -0.207 1.628
O 6.317 0.207 4.884
O 6.317 -0.207 1.628
F 4.057 1.404 3.441
F 4.057 1.404 6.328
F 4.057 -1.404 0.185
F 4.057 -1.404 3.071
CELL_PARAMETERS angstrom
4.057 -3.512 0.000
4.057 3.512 0.000
0.000 0.000 6.512
```

Values from the calculation:
The calculation puts the uncorrected formation energy at -2412 meV per atom. The energy relative to the lowest polymorph listed for this composition comes out at 0.00 kJ per mole of atoms.

=====

6.
Here is a crystal of HgWN2F relaxed with PBEsol from Alexandria. Energies are from meta-GGA SCAN. Values from VASP.

The structure in Quantum ESPRESSO input format:
```
&SYSTEM
  ibrav = 0, nat = 5, ntyp = 4
/
ATOMIC_SPECIES
Hg 200.59 Hg.upf
W 183.84 W.upf
N 14.01 N.upf
F 19.00 F.upf
ATOMIC_POSITIONS angstrom
Hg 0.000 0.000 0.000
W 2.083 2.083 2.044
N 0.000 2.083 0.000
N 2.083 0.000 0.000
F 0.000 0.000 2.044
CELL_PARAMETERS angstrom
4.165 0.000 0.000
0.000 4.165 0.000
0.000 0.000 4.087
```

Values from the calculation:
The calculation puts the uncorrected formation energy at 2105 meV per atom.

=====

7.
Here is a crystal of Be2NiBr relaxed with PBEsol from Alexandria. Energies are from meta-GGA SCAN. Values from VASP.

The structure in Quantum ESPRESSO input format:
```
&SYSTEM
  ibrav = 0, nat = 4, ntyp = 3
/
ATOMIC_SPECIES
Be 9.01 Be.upf
Ni 58.69 Ni.upf
Br 79.90 Br.upf
ATOMIC_POSITIONS angstrom
Be 0.000 0.000 4.523
Be 0.000 0.000 14.419
Ni 0.000 0.000 9.471
Br 0.000 0.000 0.000
CELL_PARAMETERS angstrom
1.534 0.886 6.314
-1.534 0.886 6.314
0.000 -1.771 6.314
```

Values from the calculation:
The calculation puts the uncorrected formation energy at 412 meV per atom.

=====

8.
Here is a crystal of Cd2Te2I relaxed with PBEsol from Alexandria. Energies are from meta-GGA SCAN. Values from VASP.

The structure in Quantum ESPRESSO input format:
```
&SYSTEM
  ibrav = 0, nat = 5, ntyp = 3
/
ATOMIC_SPECIES
Cd 112.41 Cd.upf
Te 127.60 Te.upf
I 126.90 I.upf
ATOMIC_POSITIONS angstrom
Cd 2.234 0.000 3.749
Cd 0.000 2.234 3.749
Te 0.000 0.000 1.911
Te 0.000 0.000 13.087
I 0.000 0.000 7.499
CELL_PARAMETERS angstrom
-2.234 2.234 7.499
2.234 -2.234 7.499
2.234 2.234 -7.499
```

Values from the calculation:
The calculation puts the uncorrected formation energy at -167 meV per atom.

=====

9.
Here is a crystal of RbHfScAg2 relaxed with PBEsol from Alexandria. Energies are from meta-GGA SCAN. Values from VASP.

The structure in Quantum ESPRESSO input format:
```
&SYSTEM
  ibrav = 0, nat = 5, ntyp = 4
/
ATOMIC_SPECIES
Rb 85.47 Rb.upf
Hf 178.49 Hf.upf
Sc 44.96 Sc.upf
Ag 107.87 Ag.upf
ATOMIC_POSITIONS angstrom
Rb 0.000 0.000 0.000
Hf 2.511 2.511 0.000
Sc 0.000 0.000 2.509
Ag 0.000 2.511 2.509
Ag 2.511 0.000 2.509
CELL_PARAMETERS angstrom
5.023 0.000 0.000
0.000 5.023 0.000
0.000 0.000 5.019
```

=====

10.
Here is a crystal of CrSiPb2 relaxed with PBEsol from Alexandria. Energies are from meta-GGA SCAN. Values from VASP.

The structure in Quantum ESPRESSO input format:
```
&SYSTEM
  ibrav = 0, nat = 4, ntyp = 3
/
ATOMIC_SPECIES
Cr 52.00 Cr.upf
Si 28.09 Si.upf
Pb 207.20 Pb.upf
ATOMIC_POSITIONS angstrom
Cr 0.000 0.000 0.000
Si 1.957 0.000 8.913
Pb 0.000 0.000 2.938
Pb 1.957 0.000 5.990
CELL_PARAMETERS angstrom
3.914 0.000 0.000
0.000 2.087 5.156
0.000 -2.087 5.156
```

Values from the calculation:
The calculation puts the uncorrected formation energy at 313 meV per atom.

=====

11.
Here is a crystal of GaFePS2 relaxed with PBEsol from Alexandria. Energies are from meta-GGA SCAN. Values from VASP.

The structure in Quantum ESPRESSO input format:
```
&SYSTEM
  ibrav = 0, nat = 5, ntyp = 4
/
ATOMIC_SPECIES
Ga 69.72 Ga.upf
Fe 55.84 Fe.upf
P 30.97 P.upf
S 32.06 S.upf
ATOMIC_POSITIONS angstrom
Ga 0.000 0.000 0.000
Fe 2.305 2.305 2.282
P 0.000 0.000 2.282
S 0.000 2.305 0.000
S 2.305 0.000 0.000
CELL_PARAMETERS angstrom
4.610 0.000 0.000
0.000 4.610 0.000
0.000 0.000 4.563
```

Values from the calculation:
The calculation puts the uncorrected formation energy at 840 meV per atom.

=====

12.
Here is a crystal of CaNiCl2 relaxed with PBEsol from Alexandria. Energies are from meta-GGA SCAN. Values from VASP.

The structure in Quantum ESPRESSO input format:
```
&SYSTEM
  ibrav = 0, nat = 4, ntyp = 3
/
ATOMIC_SPECIES
Ca 40.08 Ca.upf
Ni 58.69 Ni.upf
Cl 35.45 Cl.upf
ATOMIC_POSITIONS angstrom
Ca 0.000 0.000 0.000
Ni 1.874 1.874 4.016
Cl 0.000 0.000 2.879
Cl 1.874 1.874 0.608
CELL_PARAMETERS angstrom
3.748 0.000 0.000
0.000 3.748 0.000
0.000 0.000 5.487
```

Values from the calculation:
The calculation puts the uncorrected formation energy at -1077 meV per atom. The energy relative to the lowest polymorph listed for this composition comes out at 0.00 kJ per mole of atoms.

=====

Computed calculated total energy (eV per atom) in order:
-23.90, -26.71, -57.56, -15.25, -7.67, -29.89, -10.67, -34.58, -30.64, -44.68, -11.99, -11.53
Computed size of the total moment (Bohr magnetons per cell) in order:
0.00, 0.00, 0.00, 1.92, 10.00, 2.44, 0.00, 0.00, 0.00, 3.23, 3.49, 0.04